Record 1
{
  "formula": "ZrCo12Ge6",
  "functional": "PBE-GGA",
  "state": "optimized geometry",
  "lattice_angstrom": [[5.286, 3.052, 2.598], [-5.286, 3.052, 2.598], [0.000, -6.104, 2.598]],
  "species": ["Zr", "Co", "Co", "Co", "Co", "Co", "Co", "Co", "Co", "Co", "Co", "Co", "Co", "Ge", "Ge", "Ge", "Ge", "Ge", "Ge"],
  "frac_coords": [[0.000, 0.000, 0.000], [0.119, 0.500, 0.881], [0.119, 0.881, 0.500], [0.168, 0.408, 0.408], [0.408, 0.168, 0.408], [0.408, 0.408, 0.168], [0.500, 0.119, 0.881], [0.500, 0.881, 0.119], [0.592, 0.592, 0.832], [0.592, 0.832, 0.592], [0.832, 0.592, 0.592], [0.881, 0.119, 0.500], [0.881, 0.500, 0.119], [0.260, 0.260, 0.714], [0.260, 0.714, 0.260], [0.286, 0.740, 0.740], [0.714, 0.260, 0.260], [0.740, 0.286, 0.740], [0.740, 0.740, 0.286]],
  "space_group": "No. 166",
  "formation_energy_ev_per_atom": 0.02,
  "dft_energy_ev_per_cell": -121.18,
  "dos_at_fermi_per_ev_fu": 29.0,
  "magnetic_moment_mub_per_cell": 6.6
}



Record 2
{
  "formula": "LiSmGdMn",
  "functional": "PBE-GGA",
  "state": "optimized geometry",
  "lattice_angstrom": [[7.227, 0.000, 0.000], [0.000, 7.227, 0.000], [0.000, 0.000, 7.227]],
  "species": ["Li", "Li", "Li", "Li", "Sm", "Sm", "Sm", "Sm", "Gd", "Gd", "Gd", "Gd", "Mn", "Mn", "Mn", "Mn"],
  "frac_coords": [[0.000, 0.000, 0.000], [0.000, 0.500, 0.500], [0.500, 0.000, 0.500], [0.500, 0.500, 0.000], [0.250, 0.250, 0.750], [0.250, 0.750, 0.250], [0.750, 0.250, 0.250], [0.750, 0.750, 0.750], [0.250, 0.250, 0.250], [0.250, 0.750, 0.750], [0.750, 0.250, 0.750], [0.750, 0.750, 0.250], [0.000, 0.000, 0.500], [0.000, 0.500, 0.000], [0.500, 0.000, 0.000], [0.500, 0.500, 0.500]],
  "space_group": "No. 216",
  "formation_energy_ev_per_atom": 0.17,
  "dft_energy_ev_per_cell": -116.85,
  "dos_at_fermi_per_ev_fu": 4.3,
  "magnetic_moment_mub_per_cell": 39.0
}



Record 3
{
  "formula": "BaAcInSn",
  "functional": "PBE-GGA",
  "state": "optimized geometry",
  "lattice_angstrom": [[8.352, 0.000, 0.000], [0.000, 8.352, 0.000], [0.000, 0.000, 8.352]],
  "species": ["Ba", "Ba", "Ba", "Ba", "Ac", "Ac", "Ac", "Ac", "In", "In", "In", "In", "Sn", "Sn", "Sn", "Sn"],
  "frac_coords": [[0.000, 0.000, 0.000], [0.000, 0.500, 0.500], [0.500, 0.000, 0.500], [0.500, 0.500, 0.000], [0.000, 0.000, 0.500], [0.000, 0.500, 0.000], [0.500, 0.000, 0.000], [0.500, 0.500, 0.500], [0.250, 0.250, 0.750], [0.250, 0.750, 0.250], [0.750, 0.250, 0.250], [0.750, 0.750, 0.750], [0.250, 0.250, 0.250], [0.250, 0.750, 0.750], [0.750, 0.250, 0.750], [0.750, 0.750, 0.250]],
  "space_group": "No. 216",
  "formation_energy_ev_per_atom": -0.47,
  "dft_energy_ev_per_cell": -58.54,
  "dos_at_fermi_per_ev_fu": 3.2,
  "polymorph_energy_mev_per_atom": 89,
  "magnetic_moment_mub_per_cell": 0.0
}



Record 4
{
  "formula": "Tb3Sm2Te6",
  "functional": "PBE-GGA",
  "state": "optimized geometry",
  "lattice_angstrom": [[3.802, -6.549, 0.000], [3.802, 6.549, 0.000], [-2.545, 0.000, 7.141]],
  "species": ["Tb", "Tb", "Tb", "Sm", "Sm", "Te", "Te", "Te", "Te", "Te", "Te"],
  "frac_coords": [[0.000, 0.000, 0.000], [0.329, 0.671, 0.000], [0.671, 0.329, 0.000], [0.164, 0.836, 0.500], [0.836, 0.164, 0.500], [0.097, 0.419, 0.253], [0.262, 0.262, 0.750], [0.419, 0.097, 0.253], [0.581, 0.903, 0.747], [0.738, 0.738, 0.250], [0.903, 0.581, 0.747]],
  "space_group": "No. 12",
  "formation_energy_uncorrected_ev_per_atom": -1.43,
  "dft_energy_ev_per_cell": -57.91,
  "dos_at_fermi_per_ev_fu": 5.1,
  "magnetic_moment_mub_per_cell": 0.0
}



Record 5
{
  "formula": "Cd2Re2Sn",
  "functional": "PBE-GGA",
  "state": "optimized geometry",
  "lattice_angstrom": [[6.730, 0.000, 0.000], [0.000, 6.730, 0.000], [0.000, 0.000, 4.465]],
  "species": ["Cd", "Cd", "Cd", "Cd", "Re", "Re", "Re", "Re", "Sn", "Sn"],
  "frac_coords": [[0.170, 0.330, 0.000], [0.330, 0.830, 0.000], [0.670, 0.170, 0.000], [0.830, 0.670, 0.000], [0.124, 0.624, 0.500], [0.376, 0.124, 0.500], [0.624, 0.876, 0.500], [0.876, 0.376, 0.500], [0.000, 0.000, 0.500], [0.500, 0.500, 0.500]],
  "space_group": "No. 127",
  "formation_energy_ev_per_atom": 0.55,
  "dft_energy_ev_per_cell": -55.93,
  "dos_at_fermi_per_ev_fu": 1.9,
  "polymorph_energy_mev_per_atom": 0,
  "magnetic_moment_mub_per_cell": 0.0
}



Record 6
{
  "formula": "La2InOs",
  "functional": "PBE-GGA",
  "state": "optimized geometry",
  "lattice_angstrom": [[4.293, 0.000, 0.000], [0.000, 5.537, 0.000], [0.000, 0.000, 9.095]],
  "species": ["La", "La", "La", "La", "In", "In", "Os", "Os"],
  "frac_coords": [[0.000, 0.000, 0.204], [0.000, 0.000, 0.796], [0.500, 0.500, 0.296], [0.500, 0.500, 0.704], [0.000, 0.500, 0.000], [0.500, 0.000, 0.500], [0.000, 0.500, 0.500], [0.500, 0.000, 0.000]],
  "space_group": "No. 71",
  "formation_energy_ev_per_atom": -0.10,
  "dft_energy_ev_per_cell": -48.44,
  "dos_at_fermi_per_ev_fu": 3.3,
  "magnetic_moment_mub_per_cell": 0.0
}